DFT (PBE-GGA) results for a relaxed ZrSi2As crystal.

Calculated values
- Formation energy (no corrections): -0.263 eV/atom
- Polymorph energy (0 for the lowest one): 88.6 meV per atom

```
data_ZrSi2As
_chemical_formula_sum 'Zr1 Si2 As1'
_symmetry_space_group_name_H-M 'P 1'
_symmetry_Int_Tables_number 1
_symmetry_space_group_name_Hall 'P 1'
_cell_length_a 5.079
_cell_length_b 5.079
_cell_length_c 5.079
_cell_angle_alpha 140.33
_cell_angle_beta 123.83
_cell_angle_gamma 70.94
loop_
_atom_site_label
_atom_site_type_symbol
_atom_site_fract_x
_atom_site_fract_y
_atom_site_fract_z
Zr1 Zr 0.000 0.000 0.000
Si1 Si 0.520 0.520 0.000
Si2 Si 0.730 0.230 0.500
As1 As 0.282 0.782 0.500
```

=====

DFT (PBE-GGA) results for a relaxed ScTePt crystal.

Calculated values
- Formation energy (no corrections): -0.731 eV/atom

```
data_ScTePt
_chemical_formula_sum 'Sc1 Te1 Pt1'
_symmetry_space_group_name_H-M 'P 1'
_symmetry_Int_Tables_number 1
_symmetry_space_group_name_Hall 'P 1'
_cell_length_a 5.981
_cell_length_b 5.981
_cell_length_c 5.981
_cell_angle_alpha 146.73
_cell_angle_beta 146.73
_cell_angle_gamma 47.76
loop_
_atom_site_label
_atom_site_type_symbol
_atom_site_fract_x
_atom_site_fract_y
_atom_site_fract_z
Sc1 Sc 0.000 0.000 0.000
Te1 Te 0.689 0.689 0.000
Pt1 Pt 0.380 0.380 0.000
```

=====

DFT (PBE-GGA) results for a relaxed BaZnGe2O6 crystal.

Calculated values
- Formation energy (no corrections): -1.853 eV/atom

```
data_BaZnGe2O6
_chemical_formula_sum 'Ba2 Zn2 Ge4 O12'
_symmetry_space_group_name_H-M 'P 1'
_symmetry_Int_Tables_number 1
_symmetry_space_group_name_Hall 'P 1'
_cell_length_a 7.694
_cell_length_b 7.694
_cell_length_c 5.959
_cell_angle_alpha 104.54
_cell_angle_beta 104.54
_cell_angle_gamma 91.95
loop_
_atom_site_label
_atom_site_type_symbol
_atom_site_fract_x
_atom_site_fract_y
_atom_site_fract_z
Ba1 Ba 0.120 0.880 0.750
Ba2 Ba 0.880 0.120 0.250
Zn1 Zn 0.236 0.764 0.250
Zn2 Zn 0.764 0.236 0.750
Ge1 Ge 0.223 0.379 0.834
Ge2 Ge 0.379 0.223 0.334
Ge3 Ge 0.621 0.777 0.666
Ge4 Ge 0.777 0.621 0.166
O1 O 0.026 0.225 0.721
O2 O 0.190 0.605 0.933
O3 O 0.225 0.026 0.221
O4 O 0.304 0.371 0.570
O5 O 0.371 0.304 0.070
O6 O 0.395 0.810 0.567
O7 O 0.605 0.190 0.433
O8 O 0.629 0.696 0.930
O9 O 0.696 0.629 0.430
O10 O 0.775 0.974 0.779
O11 O 0.810 0.395 0.067
O12 O 0.974 0.775 0.279
```

=====

DFT (PBE-GGA) results for a relaxed Ac3La5Sm crystal.

Calculated values
- ΔH_f (0 K): 261.7 meV per atom

```
data_Ac3La5Sm
_chemical_formula_sum 'Ac6 La10 Sm2'
_symmetry_space_group_name_H-M 'P 1'
_symmetry_Int_Tables_number 1
_symmetry_space_group_name_Hall 'P 1'
_cell_length_a 10.437
_cell_length_b 10.437
_cell_length_c 10.437
_cell_angle_alpha 126.72
_cell_angle_beta 126.72
_cell_angle_gamma 78.71
loop_
_atom_site_label
_atom_site_type_symbol
_atom_site_fract_x
_atom_site_fract_y
_atom_site_fract_z
Ac1 Ac 0.127 0.627 0.754
Ac2 Ac 0.250 0.250 0.000
Ac3 Ac 0.373 0.127 0.500
Ac4 Ac 0.627 0.873 0.500
Ac5 Ac 0.750 0.750 0.000
Ac6 Ac 0.873 0.373 0.246
La1 La 0.000 0.000 0.000
La2 La 0.054 0.163 0.500
La3 La 0.163 0.663 0.110
La4 La 0.337 0.446 0.500
La5 La 0.446 0.946 0.110
La6 La 0.500 0.500 0.000
La7 La 0.554 0.054 0.890
La8 La 0.663 0.554 0.500
La9 La 0.837 0.337 0.890
La10 La 0.946 0.837 0.500
Sm1 Sm 0.250 0.750 0.500
Sm2 Sm 0.750 0.250 0.500
```

=====

DFT (PBE-GGA) results for a relaxed CsZr2TlP crystal.

Calculated values
- ΔH_f (0 K): 1944.8 meV per atom

```
data_CsZr2TlP
_chemical_formula_sum 'Cs1 Zr2 Tl1 P1'
_symmetry_space_group_name_H-M 'P 1'
_symmetry_Int_Tables_number 1
_symmetry_space_group_name_Hall 'P 1'
_cell_length_a 5.386
_cell_length_b 5.386
_cell_length_c 5.299
_cell_angle_alpha 90.00
_cell_angle_beta 90.00
_cell_angle_gamma 90.00
loop_
_atom_site_label
_atom_site_type_symbol
_atom_site_fract_x
_atom_site_fract_y
_atom_site_fract_z
Cs1 Cs 0.000 0.000 0.000
Zr1 Zr 0.000 0.500 0.000
Zr2 Zr 0.500 0.000 0.000
Tl1 Tl 0.500 0.500 0.500
P1 P 0.000 0.000 0.500
```

=====

DFT (PBE-GGA) results for a relaxed Ca2LaPd2 crystal.

Calculated values
- ΔH_f (0 K): -429.6 meV per atom
- Polymorph energy (0 for the lowest one): 170.8 meV per atom

```
data_Ca2LaPd2
_chemical_formula_sum 'Ca4 La2 Pd4'
_symmetry_space_group_name_H-M 'P 1'
_symmetry_Int_Tables_number 1
_symmetry_space_group_name_Hall 'P 1'
_cell_length_a 8.660
_cell_length_b 8.660
_cell_length_c 3.283
_cell_angle_alpha 90.00
_cell_angle_beta 90.00
_cell_angle_gamma 90.00
loop_
_atom_site_label
_atom_site_type_symbol
_atom_site_fract_x
_atom_site_fract_y
_atom_site_fract_z
Ca1 Ca 0.131 0.369 0.000
Ca2 Ca 0.369 0.869 0.000
Ca3 Ca 0.631 0.131 0.000
Ca4 Ca 0.869 0.631 0.000
La1 La 0.000 0.000 0.000
La2 La 0.500 0.500 0.000
Pd1 Pd 0.168 0.668 0.500
Pd2 Pd 0.332 0.168 0.500
Pd3 Pd 0.668 0.832 0.500
Pd4 Pd 0.832 0.332 0.500
```

=====

DFT (PBE-GGA) results for a relaxed Pr7Nd2Tm3 crystal.

Calculated values
- ΔH_f (0 K): 90.8 meV per atom
- Polymorph energy (0 for the lowest one): 26.3 meV per atom

```
data_Pr7Nd2Tm3
_chemical_formula_sum 'Pr7 Nd2 Tm3'
_symmetry_space_group_name_H-M 'P 1'
_symmetry_Int_Tables_number 1
_symmetry_space_group_name_Hall 'P 1'
_cell_length_a 5.940
_cell_length_b 3.662
_cell_length_c 19.264
_cell_angle_alpha 90.00
_cell_angle_beta 93.98
_cell_angle_gamma 90.00
loop_
_atom_site_label
_atom_site_type_symbol
_atom_site_fract_x
_atom_site_fract_y
_atom_site_fract_z
Pr1 Pr 0.000 0.000 0.000
Pr2 Pr 0.171 0.500 0.182
Pr3 Pr 0.259 0.500 0.535
Pr4 Pr 0.333 0.000 0.856
Pr5 Pr 0.667 0.000 0.144
Pr6 Pr 0.741 0.500 0.465
Pr7 Pr 0.829 0.500 0.818
Nd1 Nd 0.299 0.500 0.702
Nd2 Nd 0.701 0.500 0.298
Tm1 Tm 0.215 0.000 0.369
Tm2 Tm 0.500 0.500 0.000
Tm3 Tm 0.785 0.000 0.631
```

=====

DFT (PBE-GGA) results for a relaxed TbSmMgAg crystal.

Calculated values
- ΔH_f (0 K): -141.4 meV per atom
- Polymorph energy (0 for the lowest one): 44.5 meV per atom

```
data_TbSmMgAg
_chemical_formula_sum 'Tb1 Sm1 Mg1 Ag1'
_symmetry_space_group_name_H-M 'P 1'
_symmetry_Int_Tables_number 1
_symmetry_space_group_name_Hall 'P 1'
_cell_length_a 5.303
_cell_length_b 5.303
_cell_length_c 5.303
_cell_angle_alpha 60.00
_cell_angle_beta 60.00
_cell_angle_gamma 60.00
loop_
_atom_site_label
_atom_site_type_symbol
_atom_site_fract_x
_atom_site_fract_y
_atom_site_fract_z
Tb1 Tb 0.000 0.000 0.000
Sm1 Sm 0.500 0.500 0.500
Mg1 Mg 0.250 0.250 0.250
Ag1 Ag 0.750 0.750 0.750
```

=====

DFT (PBE-GGA) results for a relaxed CsMgHgI2 crystal.

Calculated values
- Formation energy (no corrections): -0.811 eV/atom
- Polymorph energy (0 for the lowest one): 0.0 meV per atom

```
data_CsMgHgI2
_chemical_formula_sum 'Cs1 Mg1 Hg1 I2'
_symmetry_space_group_name_H-M 'P 1'
_symmetry_Int_Tables_number 1
_symmetry_space_group_name_Hall 'P 1'
_cell_length_a 6.206
_cell_length_b 6.206
_cell_length_c 5.603
_cell_angle_alpha 90.00
_cell_angle_beta 90.00
_cell_angle_gamma 90.00
loop_
_atom_site_label
_atom_site_type_symbol
_atom_site_fract_x
_atom_site_fract_y
_atom_site_fract_z
Cs1 Cs 0.000 0.000 0.000
Mg1 Mg 0.500 0.500 0.500
Hg1 Hg 0.500 0.500 0.000
I1 I 0.000 0.500 0.500
I2 I 0.500 0.000 0.500
```

=====

DFT (PBE-GGA) results for a relaxed CrAsW crystal.

Calculated values
- ΔH_f (0 K): 235.8 meV per atom
- Polymorph energy (0 for the lowest one): 0.0 meV per atom

```
data_CrAsW
_chemical_formula_sum 'Cr1 As1 W1'
_symmetry_space_group_name_H-M 'P 1'
_symmetry_Int_Tables_number 1
_symmetry_space_group_name_Hall 'P 1'
_cell_length_a 4.075
_cell_length_b 4.075
_cell_length_c 4.075
_cell_angle_alpha 60.00
_cell_angle_beta 60.00
_cell_angle_gamma 60.00
loop_
_atom_site_label
_atom_site_type_symbol
_atom_site_fract_x
_atom_site_fract_y
_atom_site_fract_z
Cr1 Cr 0.000 0.000 0.000
As1 As 0.750 0.750 0.750
W1 W 0.250 0.250 0.250
```

=====

DFT (PBE-GGA) results for a relaxed Ce5Co2Ge5 crystal.

Calculated values
- ΔH_f (0 K): -652.0 meV per atom
- Polymorph energy (0 for the lowest one): 0.0 meV per atom

```
data_Ce5Co2Ge5
_chemical_formula_sum 'Ce5 Co2 Ge5'
_symmetry_space_group_name_H-M 'P 1'
_symmetry_Int_Tables_number 1
_symmetry_space_group_name_Hall 'P 1'
_cell_length_a 7.729
_cell_length_b 7.729
_cell_length_c 10.721
_cell_angle_alpha 127.41
_cell_angle_beta 127.41
_cell_angle_gamma 31.25
loop_
_atom_site_label
_atom_site_type_symbol
_atom_site_fract_x
_atom_site_fract_y
_atom_site_fract_z
Ce1 Ce 0.000 0.000 0.000
Ce2 Ce 0.298 0.298 0.406
Ce3 Ce 0.376 0.376 0.204
Ce4 Ce 0.624 0.624 0.796
Ce5 Ce 0.702 0.702 0.594
Co1 Co 0.387 0.387 0.728
Co2 Co 0.613 0.613 0.272
Ge1 Ge 0.000 0.000 0.500
Ge2 Ge 0.060 0.060 0.318
Ge3 Ge 0.309 0.309 0.874
Ge4 Ge 0.691 0.691 0.126
Ge5 Ge 0.940 0.940 0.682
```

=====

DFT (PBE-GGA) results for a relaxed BeAsAuBr2 crystal.

Calculated values
- Formation energy (no corrections): 0.893 eV/atom
- Polymorph energy (0 for the lowest one): 494.5 meV per atom

```
data_BeAsAuBr2
_chemical_formula_sum 'Be1 As1 Au1 Br2'
_symmetry_space_group_name_H-M 'P 1'
_symmetry_Int_Tables_number 1
_symmetry_space_group_name_Hall 'P 1'
_cell_length_a 5.323
_cell_length_b 5.323
_cell_length_c 5.136
_cell_angle_alpha 90.00
_cell_angle_beta 90.00
_cell_angle_gamma 90.00
loop_
_atom_site_label
_atom_site_type_symbol
_atom_site_fract_x
_atom_site_fract_y
_atom_site_fract_z
Be1 Be 0.000 0.000 0.000
As1 As 0.500 0.500 0.000
Au1 Au 0.500 0.500 0.500
Br1 Br 0.000 0.500 0.500
Br2 Br 0.500 0.000 0.500
```

=====

Please write out number 11 again, unchanged.
DFT (PBE-GGA) results for a relaxed Ce5Co2Ge5 crystal.

Calculated values
- ΔH_f (0 K): -652.0 meV per atom
- Polymorph energy (0 for the lowest one): 0.0 meV per atom

```
data_Ce5Co2Ge5
_chemical_formula_sum 'Ce5 Co2 Ge5'
_symmetry_space_group_name_H-M 'P 1'
_symmetry_Int_Tables_number 1
_symmetry_space_group_name_Hall 'P 1'
_cell_length_a 7.729
_cell_length_b 7.729
_cell_length_c 10.721
_cell_angle_alpha 127.41
_cell_angle_beta 127.41
_cell_angle_gamma 31.25
loop_
_atom_site_label
_atom_site_type_symbol
_atom_site_fract_x
_atom_site_fract_y
_atom_site_fract_z
Ce1 Ce 0.000 0.000 0.000
Ce2 Ce 0.298 0.298 0.406
Ce3 Ce 0.376 0.376 0.204
Ce4 Ce 0.624 0.624 0.796
Ce5 Ce 0.702 0.702 0.594
Co1 Co 0.387 0.387 0.728
Co2 Co 0.613 0.613 0.272
Ge1 Ge 0.000 0.000 0.500
Ge2 Ge 0.060 0.060 0.318
Ge3 Ge 0.309 0.309 0.874
Ge4 Ge 0.691 0.691 0.126
Ge5 Ge 0.940 0.940 0.682
```

=====

Number 5 is which compound? CsZr2TlP